[1]
Density functional theory data (PBE) for a relaxed structure of ReTeS2N.

POSCAR file:
```
ReTeS2N
1.0
-0.0479 3.2859 3.9025
0.3396 -3.8920 3.2812
3.8873 0.2219 -0.1391
Re S Te N
1 2 1 1
Cartesian
2.0895 -0.1921 3.5223 Re
0.1698 -1.9460 1.6406 S
-0.0239 1.6430 1.9513 S
0.0000 0.0000 0.0000 Te
1.9437 0.1109 -0.0696 N
```

Size of the total moment = 4.6 μB/cell
Space group = No. 123
Fermi-level density of states = 0.4797 states/eV/atom
Calculated volume = 101.4 Å³/f.u.
Energy = -0.170 hartree per atom

[2]
Density functional theory data (PBE) for a relaxed structure of TiReS2N.

POSCAR file:
```
TiReS2N
1.0
4.7775 0.0000 0.0000
0.0000 4.7775 0.0000
0.0000 0.0000 3.7118
Re S N Ti
1 2 1 1
Cartesian
0.0000 0.0000 0.0000 Re
0.0000 2.3887 0.0000 S
2.3887 0.0000 0.0000 S
0.0000 0.0000 1.8559 N
2.3887 2.3887 1.8559 Ti
```

Size of the total moment = 0.2 μB/cell
Space group = No. 123
Fermi-level density of states = 1.5400 states/eV/atom
Calculated volume = 84.7 Å³/f.u.
Energy = -0.263 hartree per atom

[3]
Density functional theory data (PBE) for a relaxed structure of TiReS2N.

POSCAR file:
```
TiReS2N
1.0
-0.2633 -3.7507 -2.9836
4.6940 -0.8049 0.5977
-0.7371 -2.1983 2.8285
Re S N Ti
1 2 1 1
Cartesian
1.8468 -3.3770 0.2213 Re
2.3470 -0.4024 0.2988 S
-0.1316 -1.8754 -1.4918 S
-0.3685 -1.0991 1.4143 N
0.0000 0.0000 0.0000 Ti
```

Size of the total moment = 3.6 μB/cell
Space group = No. 123
Fermi-level density of states = 0.5998 states/eV/atom
Calculated volume = 84.3 Å³/f.u.
Energy = -0.246 hartree per atom

[4]
Density functional theory data (PBE) for a relaxed structure of TlReS2N.

POSCAR file:
```
TlReS2N
1.0
5.2125 0.0000 0.0000
0.0000 5.2125 0.0000
0.0000 0.0000 4.1769
Re Tl S N
1 1 2 1
Cartesian
2.6063 2.6063 2.0885 Re
0.0000 0.0000 0.0000 Tl
0.0000 2.6063 0.0000 S
2.6063 0.0000 0.0000 S
0.0000 0.0000 2.0885 N
```

Size of the total moment = 2.9 μB/cell
Space group = No. 123
Fermi-level density of states = 0.7032 states/eV/atom
Calculated volume = 113.5 Å³/f.u.
Energy = -0.152 hartree per atom

[5]
Density functional theory data (PBE) for a relaxed structure of TlReSN2.

POSCAR file:
```
TlReSN2
1.0
-1.9690 3.0458 -1.4685
-3.0577 -2.3293 -0.7315
-1.9235 1.0386 4.7333
Re Tl S N
1 1 1 2
Cartesian
0.0000 0.0000 0.0000 Re
-3.4751 0.8776 1.2667 Tl
-0.9617 0.5193 2.3666 S
-1.5289 -1.1647 -0.3657 N
-0.9845 1.5229 -0.7342 N
```

Size of the total moment = 0.0 μB/cell
Space group = No. 123
Fermi-level density of states = 0.6091 states/eV/atom
Calculated volume = 79.8 Å³/f.u.
Energy = -0.248 hartree per atom

[6]
Density functional theory data (PBE) for a relaxed structure of TlReSN2.

POSCAR file:
```
TlReSN2
1.0
4.1589 0.0000 0.0000
0.0000 4.1589 0.0000
0.0000 0.0000 5.6443
Re Tl S N
1 1 1 2
Cartesian
2.0795 2.0795 2.8221 Re
0.0000 0.0000 0.0000 Tl
0.0000 0.0000 2.8221 S
0.0000 2.0795 0.0000 N
2.0795 0.0000 0.0000 N
```

Size of the total moment = 2.3 μB/cell
Space group = No. 123
Fermi-level density of states = 0.6678 states/eV/atom
Calculated volume = 97.6 Å³/f.u.
Energy = -0.165 hartree per atom

[7]
Density functional theory data (PBE) for a relaxed structure of TlReS2N.

POSCAR file:
```
TlReS2N
1.0
-2.8365 -2.4951 3.1271
3.8371 -2.7814 1.2613
0.8777 2.4630 2.7614
Re Tl S N
1 1 2 1
Cartesian
0.0000 0.0000 0.0000 Re
0.9391 -1.4068 3.5749 Tl
1.9185 -1.3907 0.6306 S
-1.4183 -1.2476 1.5635 S
0.4388 1.2315 1.3807 N
```

Size of the total moment = 0.0 μB/cell
Space group = No. 123
Fermi-level density of states = 0.6062 states/eV/atom
Calculated volume = 91.5 Å³/f.u.
Energy = -0.227 hartree per atom

[8]
Density functional theory data (PBE) for a relaxed structure of ReWSN2.

POSCAR file:
```
ReWSN2
1.0
-1.2010 -2.5188 -2.5957
3.6168 -0.8207 -0.8771
0.0276 -3.6647 3.5434
Re S W N
1 1 1 2
Cartesian
0.0000 0.0000 0.0000 Re
0.0138 -1.8324 1.7717 S
1.2217 -3.5021 0.0353 W
1.8084 -0.4104 -0.4385 N
-0.6005 -1.2594 -1.2978 N
```

Size of the total moment = 3.2 μB/cell
Space group = No. 123
Fermi-level density of states = 0.6408 states/eV/atom
Calculated volume = 74.0 Å³/f.u.
Energy = -0.298 hartree per atom

[9]
Density functional theory data (PBE) for a relaxed structure of ReWSN2.

POSCAR file:
```
ReWSN2
1.0
3.8751 0.0000 0.0000
0.0000 3.8751 0.0000
0.0000 0.0000 5.0808
Re S W N
1 1 1 2
Cartesian
1.9375 1.9375 2.5404 Re
0.0000 0.0000 2.5404 S
0.0000 0.0000 0.0000 W
0.0000 1.9375 0.0000 N
1.9375 0.0000 0.0000 N
```

Size of the total moment = 4.3 μB/cell
Space group = No. 123
Fermi-level density of states = 0.5777 states/eV/atom
Calculated volume = 76.3 Å³/f.u.
Energy = -0.298 hartree per atom

[10]
Density functional theory data (PBE) for a relaxed structure of ReWS2N.

POSCAR file:
```
ReWS2N
1.0
4.7812 0.0000 0.0000
0.0000 4.7812 0.0000
0.0000 0.0000 3.6862
Re S W N
1 2 1 1
Cartesian
0.0000 0.0000 0.0000 Re
0.0000 2.3906 0.0000 S
2.3906 0.0000 0.0000 S
2.3906 2.3906 1.8431 W
0.0000 0.0000 1.8431 N
```

Size of the total moment = 3.3 μB/cell
Space group = No. 123
Fermi-level density of states = 0.7294 states/eV/atom
Calculated volume = 84.3 Å³/f.u.
Energy = -0.271 hartree per atom

[11]
Density functional theory data (PBE) for a relaxed structure of ReWS2N.

POSCAR file:
```
ReWS2N
1.0
4.8066 0.0000 0.0000
0.0000 4.8066 0.0000
0.0000 0.0000 3.7887
Re S W N
1 2 1 1
Cartesian
2.4033 2.4033 1.8943 Re
0.0000 2.4033 0.0000 S
2.4033 0.0000 0.0000 S
0.0000 0.0000 0.0000 W
0.0000 0.0000 1.8943 N
```

Size of the total moment = 4.4 μB/cell
Space group = No. 123
Fermi-level density of states = 0.4424 states/eV/atom
Calculated volume = 87.5 Å³/f.u.
Energy = -0.271 hartree per atom

[12]
Density functional theory data (PBE) for a relaxed structure of YReSN2.

POSCAR file:
```
YReSN2
1.0
-0.5125 4.1041 0.8442
-4.1865 -0.4669 -0.2717
-0.2208 -1.1247 5.3340
Y Re S N
1 1 1 2
Cartesian
0.0000 0.0000 0.0000 Y
-2.4599 1.2563 2.9532 Re
-0.1104 -0.5624 2.6670 S
-2.0933 -0.2334 -0.1359 N
-0.2562 2.0520 0.4221 N
```

Size of the total moment = 2.7 μB/cell
Space group = No. 123
Fermi-level density of states = 0.8014 states/eV/atom
Calculated volume = 97.2 Å³/f.u.
Energy = -0.232 hartree per atom